Below is a crystal of CsSb2As2 relaxed with PBEsol, with properties calculated at the meta-GGA SCAN level.

Output
As for the theoretical density: 5.5 g/cm3. Its formation energy (no corrections) is -217 meV per atom. As for the space group: I4/mmm (139). The total energy comes out at -30.76 eV per atom.

Structure (CIF):
```
data_CsSb2As2
_chemical_formula_sum 'Cs1 Sb2 As2'
_space_group_name_H-M_alt 'P 1'
_space_group_IT_number 1
_space_group_name_Hall 'P 1'
_cell_length_a 6.9338
_cell_length_b 6.9338
_cell_length_c 6.9338
_cell_angle_alpha 136.01
_cell_angle_beta 136.01
_cell_angle_gamma 63.97
loop_
_atom_site_label
_atom_site_fract_x
_atom_site_fract_y
_atom_site_fract_z
Cs1 0.0000 0.0000 0.0000
Sb1 0.3375 0.3375 0.0000
Sb2 0.6625 0.6625 0.0000
As1 0.2500 0.7500 0.5000
As2 0.7500 0.2500 0.5000
```